No. 1
Material: CeNd2In3
Method: DFT, GGA-PBE
State: relaxed

The structure in POSCAR format:
```
CeNd2In3
1.0
5.4704 0.0000 0.0217
2.7352 8.2125 0.0109
-0.0301 0.0000 7.7690
Ce Nd In
2 4 6
Direct
0.3328 0.3344 0.0000
0.6672 0.6656 0.0000
0.0000 0.0000 0.0000
0.0000 0.0000 0.5000
0.3325 0.3350 0.5000
0.6675 0.6650 0.5000
0.8343 0.3316 0.7486
0.4992 0.0000 0.2515
0.1657 0.6684 0.2514
0.8341 0.3316 0.2514
0.1659 0.6684 0.7486
0.5008 0.0000 0.7485
```

Values from the calculation:
* excess energy over the best structure of this formula in the dataset: 0.008 eV per atom
* formation energy: -0.432 eV per atom
* D(E_F): 18.5 states/eV/cell
* space-group type: Cmmm (65)



No. 2
Material: Sc2Tl3Te6Pb
Method: DFT, GGA-PBE
State: relaxed

The structure in POSCAR format:
```
Sc2Tl3Te6Pb
1.0
-4.3876 0.0773 6.3210
7.6471 -0.6205 0.5903
-0.5060 7.9296 -2.0282
Sc Tl Te Pb
2 3 6 1
Direct
0.3268 0.6732 0.0000
0.6732 0.3268 0.0000
0.1540 0.8460 0.5000
0.8460 0.1540 0.5000
0.5000 0.5000 0.5000
0.9261 0.5665 0.7827
0.7033 0.7033 0.2008
0.0739 0.4335 0.2173
0.5665 0.9261 0.7827
0.2967 0.2967 0.7992
0.4335 0.0739 0.2173
0.0000 0.0000 0.0000
```

Values from the calculation:
* D(E_F): 5.5 states/eV/cell
* formation energy without anion corrections: -709.6 meV/atom
* space-group type: C2/m (12)



No. 3
Material: Sn2HgPbBr8
Method: DFT, GGA-PBE
State: relaxed

The structure in POSCAR format:
```
Sn2HgPbBr8
1.0
7.3276 -0.0191 0.1595
0.0359 6.9127 -0.1453
0.2120 -0.1694 8.8367
Sn Hg Pb Br
2 1 1 8
Direct
0.5200 0.4962 0.7565
0.4800 0.5038 0.2435
0.0000 0.0000 0.0000
0.0000 0.0000 0.5000
0.1576 0.7267 0.2472
0.6489 0.7422 0.9920
0.8529 0.2040 0.2227
0.8424 0.2733 0.7528
0.3511 0.2578 0.0080
0.1471 0.7960 0.7773
0.6625 0.7463 0.5162
0.3375 0.2537 0.4838
```

Values from the calculation:
* formation energy without anion corrections: -694.9 meV/atom
* space-group type: P-1 (2)